(1)
Material: K2TaCr
Method: DFT, GGA-PBE
State: optimized geometry

- Energy of formation from the pure elements: 1.404 eV/atom
- Total magnetization: 2.12 μB/cell
- Relative energy among the computed polymorphs: 53.0 kJ/mol of atoms

Structure (CIF):
```
data_K2TaCr
_chemical_formula_sum 'K2 Ta1 Cr1'
_space_group_name_H-M_alt 'P m m m'
_space_group_IT_number 47
_space_group_name_Hall '-P 2 2'
_cell_length_a 3.1503
_cell_length_b 5.0546
_cell_length_c 6.3242
_cell_angle_alpha 90.00
_cell_angle_beta 90.00
_cell_angle_gamma 90.00
loop_
_atom_site_label
_atom_site_type_symbol
_atom_site_fract_x
_atom_site_fract_y
_atom_site_fract_z
_atom_site_occupancy
K1 K 0.0000 0.0000 0.0000 1
K2 K 0.5000 0.5000 0.0000 1
Ta1 Ta 0.0000 0.5000 0.5000 1
Cr1 Cr 0.5000 0.0000 0.5000 1
```


(2)
Material: K2TaCr
Method: DFT, GGA-PBE
State: optimized geometry

- Energy of formation from the pure elements: 1.630 eV/atom
- Total magnetization: 6.35 μB/cell
- Relative energy among the computed polymorphs: 74.9 kJ/mol of atoms

Structure (CIF):
```
data_K2TaCr
_chemical_formula_sum 'K8 Ta4 Cr4'
_space_group_name_H-M_alt 'I -4 2 d'
_space_group_IT_number 122
_space_group_name_Hall 'I -4 2bw'
_cell_length_a 12.5420
_cell_length_b 12.5420
_cell_length_c 4.6076
_cell_angle_alpha 90.00
_cell_angle_beta 90.00
_cell_angle_gamma 90.00
loop_
_atom_site_label
_atom_site_type_symbol
_atom_site_fract_x
_atom_site_fract_y
_atom_site_fract_z
_atom_site_occupancy
K1 K 0.0954 0.2500 0.1250 1
Ta1 Ta 0.0000 0.0000 0.5000 1
Cr1 Cr 0.0000 0.0000 0.0000 1
```


(3)
Material: KTa2Cr
Method: DFT, GGA-PBE
State: optimized geometry

- Energy of formation from the pure elements: 1.534 eV/atom
- Total magnetization: 4.78 μB/cell
- Relative energy among the computed polymorphs: 81.3 kJ/mol of atoms

Structure (CIF):
```
data_KTa2Cr
_chemical_formula_sum 'K2 Ta4 Cr2'
_space_group_name_H-M_alt 'I -4 m 2'
_space_group_IT_number 119
_space_group_name_Hall 'I -4 -2'
_cell_length_a 4.8671
_cell_length_b 4.8671
_cell_length_c 6.8531
_cell_angle_alpha 90.00
_cell_angle_beta 90.00
_cell_angle_gamma 90.00
loop_
_atom_site_label
_atom_site_type_symbol
_atom_site_fract_x
_atom_site_fract_y
_atom_site_fract_z
_atom_site_occupancy
K1 K 0.0000 0.0000 0.0000 1
Ta1 Ta 0.0000 0.0000 0.5000 1
Ta2 Ta 0.0000 0.5000 0.7500 1
Cr1 Cr 0.0000 0.5000 0.2500 1
```


(4)
Material: KTa2Cr
Method: DFT, GGA-PBE
State: optimized geometry

- Energy of formation from the pure elements: 1.369 eV/atom
- Total magnetization: 3.58 μB/cell
- Relative energy among the computed polymorphs: 65.4 kJ/mol of atoms

Structure (CIF):
```
data_KTa2Cr
_chemical_formula_sum 'K1 Ta2 Cr1'
_space_group_name_H-M_alt 'P m m m'
_space_group_IT_number 47
_space_group_name_Hall '-P 2 2'
_cell_length_a 2.9663
_cell_length_b 5.0342
_cell_length_c 5.6437
_cell_angle_alpha 90.00
_cell_angle_beta 90.00
_cell_angle_gamma 90.00
loop_
_atom_site_label
_atom_site_type_symbol
_atom_site_fract_x
_atom_site_fract_y
_atom_site_fract_z
_atom_site_occupancy
K1 K 0.0000 0.0000 0.0000 1
Ta1 Ta 0.0000 0.5000 0.5000 1
Ta2 Ta 0.5000 0.0000 0.5000 1
Cr1 Cr 0.5000 0.5000 0.0000 1
```


(5)
Material: KTaCr2
Method: DFT, GGA-PBE
State: optimized geometry

- Energy of formation from the pure elements: 1.620 eV/atom
- Total magnetization: 1.63 μB/cell
- Relative energy among the computed polymorphs: 83.7 kJ/mol of atoms

Structure (CIF):
```
data_KTaCr2
_chemical_formula_sum 'K4 Ta4 Cr8'
_space_group_name_H-M_alt 'F -4 3 m'
_space_group_IT_number 216
_space_group_name_Hall 'F -4 2 3'
_cell_length_a 6.7199
_cell_length_b 6.7199
_cell_length_c 6.7199
_cell_angle_alpha 90.00
_cell_angle_beta 90.00
_cell_angle_gamma 90.00
loop_
_atom_site_label
_atom_site_type_symbol
_atom_site_fract_x
_atom_site_fract_y
_atom_site_fract_z
_atom_site_occupancy
K1 K 0.0000 0.0000 0.0000 1
Ta1 Ta 0.2500 0.2500 0.7500 1
Cr1 Cr 0.0000 0.0000 0.5000 1
Cr2 Cr 0.2500 0.2500 0.2500 1
```


(6)
Material: K2TaCr
Method: DFT, GGA-PBE
State: optimized geometry

- Energy of formation from the pure elements: 1.213 eV/atom
- Total magnetization: 1.29 μB/cell
- Relative energy among the computed polymorphs: 34.6 kJ/mol of atoms

Structure (CIF):
```
data_K2TaCr
_chemical_formula_sum 'K4 Ta2 Cr2'
_space_group_name_H-M_alt 'I m m 2'
_space_group_IT_number 44
_space_group_name_Hall 'I 2 -2'
_cell_length_a 3.1468
_cell_length_b 6.5443
_cell_length_c 12.3480
_cell_angle_alpha 90.00
_cell_angle_beta 90.00
_cell_angle_gamma 90.00
loop_
_atom_site_label
_atom_site_type_symbol
_atom_site_fract_x
_atom_site_fract_y
_atom_site_fract_z
_atom_site_occupancy
K1 K 0.0000 0.0000 0.0000 1
K2 K 0.0000 0.5000 0.2051 1
Ta1 Ta 0.0000 0.0000 0.4093 1
Cr1 Cr 0.0000 0.5000 0.7690 1
```


(7)
Material: KTa2Cr
Method: DFT, GGA-PBE
State: optimized geometry

- Energy of formation from the pure elements: 1.583 eV/atom
- Total magnetization: 0.52 μB/cell
- Relative energy among the computed polymorphs: 86.1 kJ/mol of atoms

Structure (CIF):
```
data_KTa2Cr
_chemical_formula_sum 'K4 Ta8 Cr4'
_space_group_name_H-M_alt 'F m -3 m'
_space_group_IT_number 225
_space_group_name_Hall '-F 4 2 3'
_cell_length_a 6.6374
_cell_length_b 6.6374
_cell_length_c 6.6374
_cell_angle_alpha 90.00
_cell_angle_beta 90.00
_cell_angle_gamma 90.00
loop_
_atom_site_label
_atom_site_type_symbol
_atom_site_fract_x
_atom_site_fract_y
_atom_site_fract_z
_atom_site_occupancy
K1 K 0.0000 0.0000 0.0000 1
Ta1 Ta 0.2500 0.2500 0.2500 1
Cr1 Cr 0.0000 0.0000 0.5000 1
```


(8)
Material: KTaCr2
Method: DFT, GGA-PBE
State: optimized geometry

- Energy of formation from the pure elements: 0.845 eV/atom
- Total magnetization: 0.00 μB/cell
- Relative energy among the computed polymorphs: 8.9 kJ/mol of atoms

Structure (CIF):
```
data_KTaCr2
_chemical_formula_sum 'K2 Ta2 Cr4'
_space_group_name_H-M_alt 'C m m 2'
_space_group_IT_number 35
_space_group_name_Hall 'C 2 -2'
_cell_length_a 3.0401
_cell_length_b 4.7135
_cell_length_c 10.1468
_cell_angle_alpha 90.00
_cell_angle_beta 90.00
_cell_angle_gamma 90.00
loop_
_atom_site_label
_atom_site_type_symbol
_atom_site_fract_x
_atom_site_fract_y
_atom_site_fract_z
_atom_site_occupancy
K1 K 0.0000 0.0000 0.0000 1
Ta1 Ta 0.0000 0.5000 0.6741 1
Cr1 Cr 0.0000 0.0000 0.4606 1
Cr2 Cr 0.0000 0.5000 0.2989 1
```


(9)
Material: KTaCr3
Method: DFT, GGA-PBE
State: optimized geometry

- Energy of formation from the pure elements: 1.496 eV/atom
- Total magnetization: 9.89 μB/cell
- Relative energy among the computed polymorphs: 0.0 kJ/mol of atoms

Structure (CIF):
```
data_KTaCr3
_chemical_formula_sum 'K1 Ta1 Cr3'
_space_group_name_H-M_alt 'P m -3 m'
_space_group_IT_number 221
_space_group_name_Hall '-P 4 2 3'
_cell_length_a 4.9895
_cell_length_b 4.9895
_cell_length_c 4.9895
_cell_angle_alpha 90.00
_cell_angle_beta 90.00
_cell_angle_gamma 90.00
loop_
_atom_site_label
_atom_site_type_symbol
_atom_site_fract_x
_atom_site_fract_y
_atom_site_fract_z
_atom_site_occupancy
K1 K 0.0000 0.0000 0.0000 1
Ta1 Ta 0.5000 0.5000 0.5000 1
Cr1 Cr 0.0000 0.5000 0.5000 1
```


(10)
Material: KTaCr3
Method: DFT, GGA-PBE
State: optimized geometry

- Energy of formation from the pure elements: 2.688 eV/atom
- Total magnetization: 0.00 μB/cell
- Relative energy among the computed polymorphs: 115.0 kJ/mol of atoms

Structure (CIF):
```
data_KTaCr3
_chemical_formula_sum 'K1 Ta1 Cr3'
_space_group_name_H-M_alt 'P m -3 m'
_space_group_IT_number 221
_space_group_name_Hall '-P 4 2 3'
_cell_length_a 4.2190
_cell_length_b 4.2190
_cell_length_c 4.2190
_cell_angle_alpha 90.00
_cell_angle_beta 90.00
_cell_angle_gamma 90.00
loop_
_atom_site_label
_atom_site_type_symbol
_atom_site_fract_x
_atom_site_fract_y
_atom_site_fract_z
_atom_site_occupancy
K1 K 0.0000 0.0000 0.0000 1
Ta1 Ta 0.5000 0.5000 0.5000 1
Cr1 Cr 0.0000 0.0000 0.5000 1
```


(11)
Material: KTaCr2
Method: DFT, GGA-PBE
State: optimized geometry

- Energy of formation from the pure elements: 1.221 eV/atom
- Total magnetization: 0.59 μB/cell
- Relative energy among the computed polymorphs: 45.2 kJ/mol of atoms

Structure (CIF):
```
data_KTaCr2
_chemical_formula_sum 'K2 Ta2 Cr4'
_space_group_name_H-M_alt 'I m m 2'
_space_group_IT_number 44
_space_group_name_Hall 'I 2 -2'
_cell_length_a 2.8564
_cell_length_b 5.2354
_cell_length_c 10.4829
_cell_angle_alpha 90.00
_cell_angle_beta 90.00
_cell_angle_gamma 90.00
loop_
_atom_site_label
_atom_site_type_symbol
_atom_site_fract_x
_atom_site_fract_y
_atom_site_fract_z
_atom_site_occupancy
K1 K 0.0000 0.0000 0.0000 1
Ta1 Ta 0.0000 0.5000 0.7953 1
Cr1 Cr 0.0000 0.0000 0.5431 1
Cr2 Cr 0.0000 0.5000 0.2273 1
```


(12)
Material: KTaCr2
Method: DFT, GGA-PBE
State: optimized geometry

- Energy of formation from the pure elements: 1.772 eV/atom
- Total magnetization: 22.68 μB/cell
- Relative energy among the computed polymorphs: 98.3 kJ/mol of atoms

Structure (CIF):
```
data_KTaCr2
_chemical_formula_sum 'K4 Ta4 Cr8'
_space_group_name_H-M_alt 'I 41/a m d'
_space_group_IT_number 141
_cell_length_a 5.4152
_cell_length_b 5.4152
_cell_length_c 16.5119
_cell_angle_alpha 90.00
_cell_angle_beta 90.00
_cell_angle_gamma 90.00
loop_
_space_group_symop_operation_xyz
'x,y,z'
'-x,-y,-z'
'-y+1/4,x+3/4,z+1/4'
'y+1/4,-x+3/4,-z+1/4'
'-x+1/2,-y,z+1/2'
'x+1/2,y,-z+1/2'
'y+1/4,-x+1/4,z+3/4'
'-y+1/4,x+1/4,-z+3/4'
'x,-y,-z'
'-x,y,z'
'-y+1/4,-x+1/4,-z+3/4'
'y+1/4,x+1/4,z+3/4'
'-x+1/2,y,-z+1/2'
'x+1/2,-y,z+1/2'
'y+1/4,x+3/4,-z+1/4'
'-y+1/4,-x+3/4,z+1/4'
'x+1/2,y+1/2,z+1/2'
'-x+1/2,-y+1/2,-z+1/2'
'-y+3/4,x+1/4,z+3/4'
'y+3/4,-x+1/4,-z+3/4'
'-x,-y+1/2,z'
'x,y+1/2,-z'
'y+3/4,-x+3/4,z+1/4'
'-y+3/4,x+3/4,-z+1/4'
'x+1/2,-y+1/2,-z+1/2'
'-x+1/2,y+1/2,z+1/2'
'-y+3/4,-x+3/4,-z+1/4'
'y+3/4,x+3/4,z+1/4'
'-x,y+1/2,-z'
'x,-y+1/2,z'
'y+3/4,x+1/4,-z+3/4'
'-y+3/4,-x+1/4,z+3/4'
loop_
_atom_site_label
_atom_site_type_symbol
_atom_site_fract_x
_atom_site_fract_y
_atom_site_fract_z
_atom_site_occupancy
K1 K 0.0000 0.2500 0.3750 1
Ta1 Ta 0.0000 0.2500 0.8750 1
Cr1 Cr 0.0000 0.0000 0.0000 1
```